1.
Dy5Ho3Tm4: optimized geometry, GGA-PBE.

a = 6.080 Å, b = 7.031 Å, c = 8.592 Å
α = 89.99°, β = 89.96°, γ = 89.91°
Space group P-1 (No. 2)
Unique sites:
Dy 0.000 0.000 0.000
Dy 0.333 0.500 0.666
Dy 0.500 0.249 0.000
Ho 0.000 0.500 0.000
Ho 0.166 0.751 0.334
Tm 0.167 0.249 0.334
Tm 0.334 0.000 0.666

**Polymorph energy (0 for the lowest one)**: 0 meV/atom
**Calculated formation energy**: 2.0 kJ per mole of atoms
**DFT total energy**: -4.531 eV/atom

***

2.
DyHo8Tm2: optimized geometry, GGA-PBE.

a = 16.991 Å, b = 6.679 Å, c = 6.425 Å
α = 90.00°, β = 110.02°, γ = 90.00°
Space group C2/m (No. 12)
Unique sites:
Dy 0.000 0.000 0.000
Ho 0.057 0.500 0.248
Ho 0.103 0.236 0.689
Ho 0.210 0.000 0.325
Tm 0.217 0.500 0.107

**Polymorph energy (0 for the lowest one)**: 39 meV/atom
**Calculated formation energy**: 19.2 kJ per mole of atoms
**DFT total energy**: -4.361 eV/atom

***

3.
Dy12Ho7Tm: optimized geometry, GGA-PBE.

a = 18.4545 Å, b = 18.4545 Å, c = 6.6311 Å
α = 90.00°, β = 90.00°, γ = 120.00°
Space group R-3 (No. 148, hexagonal axes)
Unique sites:
Dy 0.9997 0.2114 0.2148
Dy 0.0065 0.4712 0.2405
Ho 0.0000 0.0000 0.0000
Ho 0.0082 0.8524 0.2826
Tm 0.0000 0.0000 0.5000

**Polymorph energy (0 for the lowest one)**: 29 meV/atom
**Calculated formation energy**: 31.5 kJ per mole of atoms
**DFT total energy**: -4.260 eV/atom

***

4.
Dy6HoTm2: optimized geometry, GGA-PBE.

a = 3.523 Å, b = 8.614 Å, c = 9.310 Å
α = 90.00°, β = 79.16°, γ = 89.95°
Space group P-1 (No. 2)
Unique sites:
Dy 0.111 0.334 0.279
Dy 0.222 0.666 0.057
Dy 0.333 0.000 0.833
Ho 0.000 0.000 0.500
Tm 0.444 0.333 0.610

**Polymorph energy (0 for the lowest one)**: 14 meV/atom
**Calculated formation energy**: 1.9 kJ per mole of atoms
**DFT total energy**: -4.551 eV/atom

***

5.
Dy6Ho3Tm2: optimized geometry, GGA-PBE.

a = 4.682 Å, b = 4.682 Å, c = 32.890 Å
α = 90.00°, β = 90.00°, γ = 90.00°
Space group I4/mmm (No. 139)
Unique sites:
Dy 0.000 0.000 0.197
Dy 0.000 0.500 0.121
Ho 0.000 0.000 0.300
Ho 0.000 0.000 0.500
Tm 0.000 0.000 0.046

**Polymorph energy (0 for the lowest one)**: 274 meV/atom
**Calculated formation energy**: 28.5 kJ per mole of atoms
**DFT total energy**: -4.277 eV/atom

***

6.
Dy2Ho8Tm: optimized geometry, GGA-PBE.

a = 18.699 Å, b = 6.887 Å, c = 5.527 Å
α = 90.00°, β = 92.88°, γ = 90.00°
Space group C2/m (No. 12)
Unique sites:
Dy 0.216 0.000 0.251
Ho 0.046 0.000 0.235
Ho 0.131 0.234 0.733
Ho 0.186 0.500 0.233
Tm 0.000 0.500 0.000

**Polymorph energy (0 for the lowest one)**: 0 meV/atom
**Calculated formation energy**: 16.3 kJ per mole of atoms
**DFT total energy**: -4.403 eV/atom

***

7.
Dy5Ho3Tm4: optimized geometry, GGA-PBE.

a = 15.932 Å, b = 5.792 Å, c = 9.165 Å
α = 90.00°, β = 116.76°, γ = 90.00°
Space group C2/m (No. 12)
Unique sites:
Dy 0.000 0.000 0.000
Dy 0.075 0.500 0.700
Dy 0.174 0.500 0.386
Ho 0.000 0.500 0.000
Ho 0.209 0.000 0.230
Tm 0.080 0.000 0.439
Tm 0.214 0.000 0.878

**Polymorph energy (0 for the lowest one)**: 230 meV/atom
**Calculated formation energy**: 24.3 kJ per mole of atoms
**DFT total energy**: -4.301 eV/atom

***

8.
DyHoTm: optimized geometry, GGA-PBE.

a = 3.506 Å, b = 3.506 Å, c = 14.938 Å
α = 90.00°, β = 90.00°, γ = 90.00°
Space group I4mm (No. 107)
Unique sites:
Dy 0.000 0.000 0.000
Ho 0.000 0.000 0.668
Tm 0.000 0.000 0.334

**Polymorph energy (0 for the lowest one)**: 13 meV/atom
**Calculated formation energy**: 2.2 kJ per mole of atoms
**DFT total energy**: -4.527 eV/atom

***

9.
Dy6Ho3Tm2: optimized geometry, GGA-PBE.

a = 3.5307 Å, b = 3.5307 Å, c = 94.8014 Å
α = 90.00°, β = 90.00°, γ = 120.00°
Space group R-3m (No. 166, hexagonal axes)
Unique sites:
Dy 0.0000 0.0000 0.0912
Dy 0.0000 0.0000 0.1819
Dy 0.0000 0.0000 0.3637
Ho 0.0000 0.0000 0.0000
Ho 0.0000 0.0000 0.2726
Tm 0.0000 0.0000 0.4546

**Polymorph energy (0 for the lowest one)**: 0 meV/atom
**Calculated formation energy**: 2.0 kJ per mole of atoms
**DFT total energy**: -4.551 eV/atom

***

10.
Dy2HoTm: optimized geometry, GGA-PBE.

a = 3.507 Å, b = 4.981 Å, c = 7.031 Å
α = 90.00°, β = 90.00°, γ = 90.00°
Space group Pmm2 (No. 25)
Unique sites:
Dy 0.000 0.000 0.000
Dy 0.500 0.500 0.251
Ho 0.000 0.000 0.502
Tm 0.500 0.500 0.751

**Polymorph energy (0 for the lowest one)**: 17 meV/atom
**Calculated formation energy**: 1.8 kJ per mole of atoms
**DFT total energy**: -4.545 eV/atom

***

11.
Dy5HoTm5: optimized geometry, GGA-PBE.

a = 18.644 Å, b = 5.837 Å, c = 6.870 Å
α = 90.00°, β = 111.41°, γ = 90.00°
Space group C2/m (No. 12)
Unique sites:
Dy 0.000 0.000 0.000
Dy 0.178 0.500 0.933
Dy 0.179 0.500 0.425
Ho 0.000 0.500 0.000
Tm 0.000 0.500 0.500
Tm 0.123 0.000 0.624
Tm 0.169 0.000 0.170

**Polymorph energy (0 for the lowest one)**: 139 meV/atom
**Calculated formation energy**: 27.9 kJ per mole of atoms
**DFT total energy**: -4.251 eV/atom

***

12.
Dy6HoTm: optimized geometry, GGA-PBE.

a = 6.502 Å, b = 6.692 Å, c = 6.861 Å
α = 118.99°, β = 102.76°, γ = 90.15°
Space group P-1 (No. 2)
Unique sites:
Dy 0.230 0.405 0.477
Dy 0.249 0.949 0.999
Dy 0.269 0.925 0.520
Ho 0.500 0.500 0.000
Tm 0.000 0.500 0.000

**Polymorph energy (0 for the lowest one)**: 186 meV/atom
**Calculated formation energy**: 20.0 kJ per mole of atoms
**DFT total energy**: -4.375 eV/atom